Material: NbOsSCl2
Method: DFT, PBE
State: relaxed

Structure (POSCAR):
```
NbOsSCl2
1.0
4.871 0.000 0.000
0.000 4.871 0.000
0.000 0.000 4.485
Nb Os S Cl
1 1 1 2
Cartesian
0.000 0.000 0.000
2.435 2.435 2.242
2.435 2.435 0.000
0.000 2.435 2.242
2.435 0.000 2.242
```

Calculated values
- Polymorph energy (0 for the lowest one): 13 meV per atom
- Formation energy from raw total energies: 836 meV/atom
- Theoretical density: 6.03 g/cm3
- Magnetic moment: 0.6368 μB/atom